Entry 1:
The following is a DFT calculation (PBE) of a geometry-optimized LaNd2Ir2 structure.

Output
Its energy above the lowest structure with this stoichiometry is 9 meV/atom. As for the formation energy: -57.2 kJ/mol of atoms.

Unit cell a=4.201 b=5.726 c=7.289 alpha=113.04 beta=106.75 gamma=90.00
Positions (direct):
Ir1 0.653 0.153 0.306
Ir2 0.347 0.847 0.694
Nd1 0.310 0.309 0.619
La1 0.000 0.000 0.000
Nd2 0.690 0.691 0.381

***

Entry 2:
The following is a DFT calculation (PBE) of a geometry-optimized Mg3Zr structure.

Output
As for the formation energy: 4.4 kJ/mol of atoms.

Unit cell a=5.425 b=10.387 c=6.377 alpha=90.00 beta=90.00 gamma=90.00
Positions (direct):
Mg1 0.073 0.750 0.138
Zr1 0.443 0.250 0.163
Mg2 0.573 0.750 0.362
Mg3 0.250 0.995 0.391
Zr2 0.057 0.750 0.663
Mg4 0.750 0.505 0.109
Zr3 0.557 0.750 0.837
Mg5 0.750 0.005 0.609
Mg6 0.927 0.250 0.862
Mg7 0.750 0.995 0.109
Mg8 0.250 0.495 0.891
Mg9 0.750 0.495 0.609
Mg10 0.427 0.250 0.638
Mg11 0.250 0.505 0.391
Zr4 0.943 0.250 0.337
Mg12 0.250 0.005 0.891

***

Entry 3:
The following is a DFT calculation (PBE) of a geometry-optimized SiAgPd structure.

Output
Its raw formation energy is -3.8 kcal/mol of atoms.

Unit cell a=3.155 b=3.155 c=5.267 alpha=107.43 beta=107.43 gamma=90.00
Positions (direct):
Pd1 0.306 0.306 0.612
Ag1 0.005 0.005 0.010
Si1 0.689 0.689 0.378

***

Entry 4:
The following is a DFT calculation (PBE) of a geometry-optimized ZrCd4Co structure.

Output
As for the formation energy: 32.7 kJ/mol of atoms.

Unit cell a=5.564 b=5.564 c=5.564 alpha=60.00 beta=60.00 gamma=60.00
Positions (direct):
Zr1 0.000 0.000 0.000
Cd1 0.874 0.375 0.375
Cd2 0.375 0.375 0.874
Cd3 0.375 0.375 0.375
Co1 0.750 0.750 0.750
Cd4 0.375 0.874 0.375

***

Entry 5:
The following is a DFT calculation (PBE) of a geometry-optimized TaBi3P structure.

Output
Its energy above the lowest structure with this stoichiometry is 0 meV/atom. As for the formation energy: 88.7 kJ/mol of atoms.

Unit cell a=5.461 b=5.461 c=5.461 alpha=90.00 beta=90.00 gamma=90.00
Positions (direct):
Bi1 0.000 0.000 0.500
P1 0.500 0.500 0.500
Bi2 0.000 0.500 0.000
Ta1 0.000 0.000 0.000
Bi3 0.500 0.000 0.000

***

Entry 6:
The following is a DFT calculation (PBE) of a geometry-optimized NdSm4Tm4 structure.

Output
Its energy above the lowest structure with this stoichiometry is 11 meV/atom. As for the formation energy: 2.0 kJ/mol of atoms.

Unit cell a=5.023 b=7.994 c=7.994 alpha=84.33 beta=71.69 gamma=71.69
Positions (direct):
Sm1 0.000 0.669 0.331
Nd1 0.000 0.000 0.000
Sm2 0.669 0.331 0.331
Tm1 0.333 0.000 0.334
Tm2 0.333 0.334 0.000
Sm3 0.331 0.669 0.669
Tm3 0.667 0.666 0.000
Tm4 0.667 0.000 0.666
Sm4 0.000 0.331 0.669

***

Entry 7:
The following is a DFT calculation (PBE) of a geometry-optimized HfInTcIr structure.

Output
As for the formation energy: -36.1 kJ/mol of atoms.

Unit cell a=4.601 b=4.601 c=4.601 alpha=60.00 beta=60.00 gamma=60.00
Positions (direct):
Ir1 0.750 0.750 0.750
Tc1 0.250 0.250 0.250
Hf1 0.000 0.000 0.000
In1 0.500 0.500 0.500

***

Entry 8:
The following is a DFT calculation (PBE) of a geometry-optimized Ac12HgOs6 structure.

Output
As for the formation energy: -5.0 kJ/mol of atoms.

Unit cell a=9.425 b=9.443 c=9.315 alpha=109.28 beta=109.22 gamma=109.70
Positions (direct):
Ac1 0.806 0.306 0.105
Ac2 0.121 0.808 0.311
Ac3 0.305 0.499 0.200
Os1 0.584 0.472 0.110
Ac4 0.194 0.694 0.895
Ac5 0.686 0.878 0.190
Os2 0.889 0.417 0.528
Os3 0.528 0.112 0.637
Os4 0.416 0.528 0.890
Ac6 0.879 0.192 0.689
Hg1 0.000 0.000 0.000
Ac7 0.192 0.313 0.503
Ac8 0.808 0.687 0.497
Ac9 0.501 0.805 0.701
Ac10 0.695 0.501 0.800
Ac11 0.314 0.122 0.810
Os5 0.472 0.888 0.363
Os6 0.111 0.583 0.472
Ac12 0.499 0.195 0.299

***

| no. | VASP energy (Ha/atom) |
| --- | --- |
| 1 | -0.2583 |
| 2 | -0.1208 |
| 3 | -0.1710 |
| 4 | -0.1058 |
| 5 | -0.1787 |
| 6 | -0.1688 |
| 7 | -0.3070 |
| 8 | -0.2282 |